[1]
Computed, not measured: FeCoMoI2 at its PBEsol-relaxed geometry at the meta-GGA SCAN level of DFT.

a b c (Å): 4.427 4.981 4.981
angles (deg): 90.00 90.00 90.00
Fractional coordinates of all 5 atoms:
I1 0.000 0.000 0.500
I2 0.000 0.500 0.000
Mo1 0.500 0.000 0.000
Co1 0.000 0.000 0.000
Fe1 0.500 0.500 0.500

The crystal system is tetragonal. Its density is 7.0 g/cm3. As for the symmetry: P4/mmm, No. 123. Its uncorrected formation energy is 1.39 eV/atom. The value obtained for the size of the total moment is 1.1266 μB per atom. For the calculated volume, the calculation gives 21.97 A^3/atom. The value obtained for the energy is -27.37 eV per atom.


[2]
Computed, not measured: FeCoSb2I at its PBEsol-relaxed geometry at the meta-GGA SCAN level of DFT.

a b c (Å): 4.768 4.768 5.292
angles (deg): 90.00 90.00 90.00
Fractional coordinates of all 5 atoms:
I1 0.000 0.000 0.500
Sb1 0.000 0.500 0.000
Sb2 0.500 0.000 0.000
Co1 0.000 0.000 0.000
Fe1 0.500 0.500 0.500

The crystal system is tetragonal. Its density is 6.7 g/cm3. As for the symmetry: P4/mmm, No. 123. Its uncorrected formation energy is 0.88 eV/atom. The value obtained for the size of the total moment is 0.5202 μB per atom. For the calculated volume, the calculation gives 24.06 A^3/atom. The value obtained for the energy is -28.46 eV per atom.


[3]
Computed, not measured: InFeCo2 at its PBEsol-relaxed geometry at the meta-GGA SCAN level of DFT.

a b c (Å): 3.066 4.097 4.828
angles (deg): 115.11 108.51 90.00
Fractional coordinates of all 4 atoms:
Co1 0.011 0.011 0.022
Co2 0.757 0.257 0.514
Fe1 0.484 0.484 0.968
In1 0.248 0.748 0.497

The crystal system is orthorhombic. The calculated formation energy comes out at 0.0910 eV/atom. Its density is 9.3 g/cm3. As for the symmetry: Imm2, No. 44. The value obtained for the size of the total moment is 1.5266 μB per atom. For the calculated volume, the calculation gives 12.86 A^3/atom. The value obtained for the energy is -21.44 eV per atom.


[4]
Computed, not measured: InFeCo2 at its PBEsol-relaxed geometry at the meta-GGA SCAN level of DFT.

a b c (Å): 2.917 2.917 5.984
angles (deg): 90.00 90.00 90.00
Fractional coordinates of all 4 atoms:
Co1 0.000 0.000 0.784
Co2 0.000 0.000 0.216
Fe1 0.500 0.500 0.000
In1 0.500 0.500 0.500

The crystal system is tetragonal. The calculated formation energy comes out at -0.0139 eV/atom. Its density is 9.4 g/cm3. As for the symmetry: P4/mmm, No. 123. The value obtained for the size of the total moment is 1.3855 μB per atom. For the calculated volume, the calculation gives 12.73 A^3/atom. The value obtained for the energy is -21.54 eV per atom.


- The highest size of the total moment belongs to which entry?
  number 3


- Look up the size of the total moment of the fourth one.
  1.3855 μB per atom